<A>
{
  "formula": "CuSb2TeRu",
  "functional": "PBE",
  "state": "optimized geometry",
  "space_group": "P4/mmm, No. 123",
  "total_magnetization_mub_per_fu": 0.00,
  "cell": [[4.981, 0.000, 0.000], [0.000, 4.981, 0.000], [0.000, 0.000, 5.576]],
  "species": ["Sb", "Te", "Sb", "Ru", "Cu"],
  "fractional_positions": [[0.000, 0.500, 0.000], [0.000, 0.000, 0.500], [0.500, 0.000, 0.000], [0.000, 0.000, 0.000], [0.500, 0.500, 0.500]]
}

<B>
{
  "formula": "CuSb2TeRu",
  "functional": "PBE",
  "state": "optimized geometry",
  "space_group": "P4/mmm, No. 123",
  "total_magnetization_mub_per_fu": 0.66,
  "cell": [[4.927, 0.000, 0.000], [0.000, 4.927, 0.000], [0.000, 0.000, 5.052]],
  "species": ["Sb", "Cu", "Ru", "Sb", "Te"],
  "fractional_positions": [[0.500, 0.000, 0.000], [0.000, 0.000, 0.000], [0.500, 0.500, 0.500], [0.000, 0.500, 0.000], [0.000, 0.000, 0.500]]
}

Least stable structure: <B>

<A>
{
  "formula": "Sc2Cu2Ru",
  "functional": "PBE",
  "state": "optimized geometry",
  "space_group": "I4/mmm, No. 139",
  "total_magnetization_mub_per_fu": 0.00,
  "cell": [[3.299, 0.000, 0.000], [0.000, 3.299, 0.000], [1.649, 1.649, 7.860]],
  "species": ["Ru", "Sc", "Cu", "Sc", "Cu"],
  "fractional_positions": [[0.000, 0.000, 0.000], [0.598, 0.598, 0.805], [0.750, 0.250, 0.500], [0.402, 0.402, 0.195], [0.250, 0.750, 0.500]]
}

<B>
{
  "formula": "Sc2Cu2Ru",
  "functional": "PBE",
  "state": "optimized geometry",
  "space_group": "P4/mbm, No. 127",
  "total_magnetization_mub_per_fu": 0.00,
  "cell": [[6.814, 0.000, 0.000], [0.000, 6.814, 0.000], [0.000, 0.000, 3.549]],
  "species": ["Cu", "Sc", "Sc", "Ru", "Cu", "Sc", "Ru", "Cu", "Sc", "Cu"],
  "fractional_positions": [[0.879, 0.621, 0.000], [0.186, 0.686, 0.500], [0.814, 0.314, 0.500], [0.500, 0.500, 0.000], [0.121, 0.379, 0.000], [0.686, 0.814, 0.500], [0.000, 0.000, 0.000], [0.379, 0.879, 0.000], [0.314, 0.186, 0.500], [0.621, 0.121, 0.000]]
}

Least stable structure: <B>

<A>
{
  "formula": "Sc3CuRu",
  "functional": "PBE",
  "state": "optimized geometry",
  "space_group": "Pm-3m, No. 221",
  "total_magnetization_mub_per_fu": 0.00,
  "cell": [[4.779, 0.000, 0.000], [0.000, 4.779, 0.000], [0.000, 0.000, 4.779]],
  "species": ["Sc", "Sc", "Cu", "Ru", "Sc"],
  "fractional_positions": [[0.000, 0.500, 0.000], [0.000, 0.000, 0.500], [0.000, 0.000, 0.000], [0.500, 0.500, 0.500], [0.500, 0.000, 0.000]]
}

<B>
{
  "formula": "Sc3CuRu",
  "functional": "PBE",
  "state": "optimized geometry",
  "space_group": "Pm-3m, No. 221",
  "total_magnetization_mub_per_fu": 0.00,
  "cell": [[4.952, 0.000, 0.000], [0.000, 4.952, 0.000], [0.000, 0.000, 4.952]],
  "species": ["Ru", "Sc", "Sc", "Sc", "Cu"],
  "fractional_positions": [[0.000, 0.000, 0.000], [0.000, 0.500, 0.000], [0.500, 0.000, 0.000], [0.000, 0.000, 0.500], [0.500, 0.500, 0.500]]
}

Least stable structure: <A>

<A>
{
  "formula": "ScZnCuRu",
  "functional": "PBE",
  "state": "optimized geometry",
  "space_group": "F-43m, No. 216",
  "total_magnetization_mub_per_fu": 0.00,
  "cell": [[4.403, 0.000, 0.000], [2.202, 3.813, 0.000], [2.202, 1.271, 3.595]],
  "species": ["Sc", "Cu", "Ru", "Zn"],
  "fractional_positions": [[0.000, 0.000, 0.000], [0.250, 0.250, 0.250], [0.750, 0.750, 0.750], [0.500, 0.500, 0.500]]
}

<B>
{
  "formula": "ScZnCuRu",
  "functional": "PBE",
  "state": "optimized geometry",
  "space_group": "Pmmm, No. 47",
  "total_magnetization_mub_per_fu": 0.00,
  "cell": [[3.508, 0.000, 0.000], [0.000, 4.226, 0.000], [0.000, 0.000, 4.022]],
  "species": ["Sc", "Zn", "Cu", "Ru"],
  "fractional_positions": [[0.500, 0.000, 0.500], [0.500, 0.500, 0.000], [0.000, 0.500, 0.500], [0.000, 0.000, 0.000]]
}

Least stable structure: <A>

<A>
{
  "formula": "Cu3RuSe",
  "functional": "PBE",
  "state": "optimized geometry",
  "space_group": "Pm-3m, No. 221",
  "total_magnetization_mub_per_fu": 2.24,
  "cell": [[-1.940, -4.205, 0.357], [3.937, -1.661, 1.820], [-1.520, 1.063, 4.258]],
  "species": ["Se", "Cu", "Cu", "Cu", "Ru"],
  "fractional_positions": [[0.500, 0.500, 0.500], [0.500, 0.000, 0.000], [0.000, 0.000, 0.500], [0.000, 0.500, 0.000], [0.000, 0.000, 0.000]]
}

<B>
{
  "formula": "Cu3RuSe",
  "functional": "PBE",
  "state": "optimized geometry",
  "space_group": "Pm-3m, No. 221",
  "total_magnetization_mub_per_fu": 1.28,
  "cell": [[4.429, 0.000, 0.000], [0.000, 4.429, 0.000], [0.000, 0.000, 4.429]],
  "species": ["Ru", "Cu", "Cu", "Cu", "Se"],
  "fractional_positions": [[0.500, 0.500, 0.500], [0.000, 0.000, 0.500], [0.500, 0.000, 0.000], [0.000, 0.500, 0.000], [0.000, 0.000, 0.000]]
}

Least stable structure: <A>

<A>
{
  "formula": "CuRu3Se",
  "functional": "PBE",
  "state": "optimized geometry",
  "space_group": "Pm-3m, No. 221",
  "total_magnetization_mub_per_fu": 0.00,
  "cell": [[-3.485, 2.244, 1.683], [-2.424, -3.759, -0.006], [1.411, -0.917, 4.145]],
  "species": ["Se", "Ru", "Ru", "Ru", "Cu"],
  "fractional_positions": [[0.500, 0.500, 0.500], [0.500, 0.000, 0.000], [0.000, 0.500, 0.000], [0.000, 0.000, 0.500], [0.000, 0.000, 0.000]]
}

<B>
{
  "formula": "CuRu3Se",
  "functional": "PBE",
  "state": "optimized geometry",
  "space_group": "Pm-3m, No. 221",
  "total_magnetization_mub_per_fu": 2.76,
  "cell": [[4.512, 0.000, 0.000], [0.000, 4.512, 0.000], [0.000, 0.000, 4.512]],
  "species": ["Ru", "Ru", "Ru", "Cu", "Se"],
  "fractional_positions": [[0.000, 0.000, 0.500], [0.000, 0.500, 0.000], [0.500, 0.000, 0.000], [0.500, 0.500, 0.500], [0.000, 0.000, 0.000]]
}

Least stable structure: <A>

<A>
{
  "formula": "CuSiRu",
  "functional": "PBE",
  "state": "optimized geometry",
  "space_group": "Fmm2, No. 42",
  "total_magnetization_mub_per_fu": 0.00,
  "cell": [[-1.397, 5.975, 0.402], [-3.722, 4.588, -0.223], [0.078, 0.723, 2.682]],
  "species": ["Ru", "Cu", "Si"],
  "fractional_positions": [[0.321, 0.321, 0.679], [0.009, 0.009, 0.991], [0.671, 0.671, 0.329]]
}

<B>
{
  "formula": "CuSiRu",
  "functional": "PBE",
  "state": "optimized geometry",
  "space_group": "P3m1, No. 156",
  "total_magnetization_mub_per_fu": 0.00,
  "cell": [[3.960, 0.000, 0.000], [-1.980, 3.429, 0.000], [0.000, 0.000, 2.845]],
  "species": ["Si", "Ru", "Cu"],
  "fractional_positions": [[0.667, 0.333, 0.714], [0.333, 0.667, 0.392], [0.000, 0.000, 0.894]]
}

Least stable structure: <A>

<A>
{
  "formula": "CuSiRu",
  "functional": "PBE",
  "state": "optimized geometry",
  "space_group": "I4mm, No. 107",
  "total_magnetization_mub_per_fu": 0.00,
  "cell": [[4.839, 0.004, 0.000], [3.014, 3.786, 0.000], [-3.927, -1.895, 2.100]],
  "species": ["Cu", "Ru", "Si"],
  "fractional_positions": [[0.011, 0.011, 0.000], [0.315, 0.315, 0.000], [0.674, 0.674, 0.000]]
}

<B>
{
  "formula": "CuSiRu",
  "functional": "PBE",
  "state": "optimized geometry",
  "space_group": "F-43m, No. 216",
  "total_magnetization_mub_per_fu": 0.00,
  "cell": [[3.920, 0.000, 0.000], [1.960, 3.395, 0.000], [1.960, 1.132, 3.201]],
  "species": ["Ru", "Cu", "Si"],
  "fractional_positions": [[0.500, 0.500, 0.500], [0.000, 0.000, 0.000], [0.750, 0.750, 0.750]]
}

Least stable structure: <A>